(1)
Density functional theory data (PBE) for PrHo2ErBi4 after structural relaxation.

Calculated values
M_tot ... 0.00 μB/cell
Energy of formation ... -0.853 eV/atom
V ... 32.33 Å³ per atom

CIF file:
```
data_PrHo2ErBi4
_chemical_formula_sum 'Pr1 Ho2 Er1 Bi4'
_cell_length_a 7.800
_cell_length_b 4.508
_cell_length_c 7.802
_cell_angle_alpha 90.00
_cell_angle_beta 109.49
_cell_angle_gamma 90.00
_space_group_name_H-M_alt 'P 1 2/m 1'
_space_group_IT_number 10
_space_group_name_Hall '-P 2y'
loop_
_atom_site_label
_atom_site_type_symbol
_atom_site_fract_x
_atom_site_fract_y
_atom_site_fract_z
_atom_site_occupancy
Pr1 Pr 0.000 0.000 0.000 1
Ho1 Ho 0.000 0.500 0.500 1
Ho2 Ho 0.500 0.000 0.500 1
Er1 Er 0.500 0.500 0.000 1
Bi1 Bi 0.255 0.000 0.747 1
Bi2 Bi 0.258 0.500 0.258 1
```

=====

(2)
Density functional theory data (PBE) for HoEr2PuBi4 after structural relaxation.

Calculated values
M_tot ... 5.17 μB/cell
Energy of formation ... -0.690 eV/atom
V ... 31.72 Å³ per atom

CIF file:
```
data_HoEr2PuBi4
_chemical_formula_sum 'Ho1 Er2 Pu1 Bi4'
_cell_length_a 7.751
_cell_length_b 4.477
_cell_length_c 7.753
_cell_angle_alpha 90.00
_cell_angle_beta 109.40
_cell_angle_gamma 90.00
_space_group_name_H-M_alt 'P 1 2/m 1'
_space_group_IT_number 10
_space_group_name_Hall '-P 2y'
loop_
_atom_site_label
_atom_site_type_symbol
_atom_site_fract_x
_atom_site_fract_y
_atom_site_fract_z
_atom_site_occupancy
Ho1 Ho 0.000 0.000 0.000 1
Er1 Er 0.500 0.000 0.500 1
Er2 Er 0.500 0.500 0.000 1
Pu1 Pu 0.000 0.500 0.500 1
Bi1 Bi 0.253 0.500 0.249 1
Bi2 Bi 0.254 0.000 0.753 1
```

=====

(3)
Density functional theory data (PBE) for HoErBiS2 after structural relaxation.

Calculated values
Formation energy without anion corrections ... -1271.2 meV per atom
M_tot ... 0.00 μB/cell
V ... 27.43 Å³ per atom

CIF file:
```
data_HoErBiS2
_chemical_formula_sum 'Ho2 Er2 Bi2 S4'
_cell_length_a 4.492
_cell_length_b 4.492
_cell_length_c 13.597
_cell_angle_alpha 90.00
_cell_angle_beta 90.00
_cell_angle_gamma 90.00
_space_group_name_H-M_alt 'I 4 m m'
_space_group_IT_number 107
_space_group_name_Hall 'I 4 -2'
loop_
_atom_site_label
_atom_site_type_symbol
_atom_site_fract_x
_atom_site_fract_y
_atom_site_fract_z
_atom_site_occupancy
Ho1 Ho 0.000 0.000 0.000 1
Er1 Er 0.000 0.000 0.294 1
Bi1 Bi 0.000 0.000 0.647 1
S1 S 0.000 0.500 0.396 1
```

=====

(4)
Density functional theory data (PBE) for HoErBiSb after structural relaxation.

Calculated values
Formation energy without anion corrections ... -959.9 meV per atom
M_tot ... 0.00 μB/cell
V ... 30.22 Å³ per atom

CIF file:
```
data_HoErBiSb
_chemical_formula_sum 'Ho1 Er1 Bi1 Sb1'
_cell_length_a 4.406
_cell_length_b 4.406
_cell_length_c 6.228
_cell_angle_alpha 90.00
_cell_angle_beta 90.00
_cell_angle_gamma 90.00
_space_group_name_H-M_alt 'P 4 m m'
_space_group_IT_number 99
_space_group_name_Hall 'P 4 -2'
loop_
_atom_site_label
_atom_site_type_symbol
_atom_site_fract_x
_atom_site_fract_y
_atom_site_fract_z
_atom_site_occupancy
Ho1 Ho 0.000 0.000 0.000 1
Er1 Er 0.500 0.500 0.499 1
Bi1 Bi 0.500 0.500 0.999 1
Sb1 Sb 0.000 0.000 0.500 1
```

=====

(5)
Density functional theory data (PBE) for HoEr2Sc3Bi6 after structural relaxation.

Calculated values
M_tot ... 0.00 μB/cell
Energy of formation ... -0.738 eV/atom
V ... 29.30 Å³ per atom

CIF file:
```
data_HoEr2Sc3Bi6
_chemical_formula_sum 'Ho2 Er4 Sc6 Bi12'
_cell_length_a 7.553
_cell_length_b 13.088
_cell_length_c 7.546
_cell_angle_alpha 90.00
_cell_angle_beta 109.48
_cell_angle_gamma 90.00
_space_group_name_H-M_alt 'C 1 2/m 1'
_space_group_IT_number 12
_space_group_name_Hall '-C 2y'
loop_
_atom_site_label
_atom_site_type_symbol
_atom_site_fract_x
_atom_site_fract_y
_atom_site_fract_z
_atom_site_occupancy
Ho1 Ho 0.000 0.000 0.000 1
Er1 Er 0.000 0.333 0.000 1
Sc1 Sc 0.000 0.166 0.500 1
Sc2 Sc 0.000 0.500 0.500 1
Bi1 Bi 0.245 0.333 0.737 1
Bi2 Bi 0.246 0.000 0.737 1
```

=====

(6)
Density functional theory data (PBE) for Ho2ErScBi4 after structural relaxation.

Calculated values
M_tot ... 0.00 μB/cell
Energy of formation ... -0.779 eV/atom
V ... 30.38 Å³ per atom

CIF file:
```
data_Ho2ErScBi4
_chemical_formula_sum 'Ho2 Er1 Sc1 Bi4'
_cell_length_a 7.641
_cell_length_b 4.415
_cell_length_c 7.642
_cell_angle_alpha 90.00
_cell_angle_beta 109.47
_cell_angle_gamma 90.00
_space_group_name_H-M_alt 'P 1 2/m 1'
_space_group_IT_number 10
_space_group_name_Hall '-P 2y'
loop_
_atom_site_label
_atom_site_type_symbol
_atom_site_fract_x
_atom_site_fract_y
_atom_site_fract_z
_atom_site_occupancy
Ho1 Ho 0.000 0.000 0.000 1
Ho2 Ho 0.000 0.500 0.500 1
Er1 Er 0.500 0.000 0.500 1
Sc1 Sc 0.500 0.500 0.000 1
Bi1 Bi 0.255 0.500 0.246 1
Bi2 Bi 0.259 0.000 0.758 1
```

=====

(7)
Density functional theory data (PBE) for Ho2ErScBi5 after structural relaxation.

Calculated values
M_tot ... 0.00 μB/cell
Energy of formation ... 0.080 eV/atom
V ... 37.58 Å³ per atom

CIF file:
```
data_Ho2ErScBi5
_chemical_formula_sum 'Ho2 Er1 Sc1 Bi5'
_cell_length_a 5.437
_cell_length_b 5.437
_cell_length_c 11.443
_cell_angle_alpha 90.00
_cell_angle_beta 90.00
_cell_angle_gamma 90.00
_space_group_name_H-M_alt 'P 4/m m m'
_space_group_IT_number 123
_space_group_name_Hall '-P 4 2'
loop_
_atom_site_label
_atom_site_type_symbol
_atom_site_fract_x
_atom_site_fract_y
_atom_site_fract_z
_atom_site_occupancy
Ho1 Ho 0.000 0.000 0.223 1
Er1 Er 0.500 0.500 0.000 1
Sc1 Sc 0.500 0.500 0.500 1
Bi1 Bi 0.000 0.000 0.500 1
Bi2 Bi 0.000 0.500 0.000 1
Bi3 Bi 0.500 0.500 0.260 1
```

=====

(8)
Density functional theory data (PBE) for Ho3Er2ScBi6 after structural relaxation.

Calculated values
M_tot ... 0.00 μB/cell
Energy of formation ... -0.794 eV/atom
V ... 30.65 Å³ per atom

CIF file:
```
data_Ho3Er2ScBi6
_chemical_formula_sum 'Ho6 Er4 Sc2 Bi12'
_cell_length_a 19.284
_cell_length_b 4.426
_cell_length_c 8.853
_cell_angle_alpha 90.00
_cell_angle_beta 103.19
_cell_angle_gamma 90.00
_space_group_name_H-M_alt 'C 1 2/m 1'
_space_group_IT_number 12
_space_group_name_Hall '-C 2y'
loop_
_atom_site_label
_atom_site_type_symbol
_atom_site_fract_x
_atom_site_fract_y
_atom_site_fract_z
_atom_site_occupancy
Ho1 Ho 0.000 0.000 0.000 1
Ho2 Ho 0.168 0.500 0.334 1
Er1 Er 0.166 0.500 0.833 1
Sc1 Sc 0.000 0.000 0.500 1
Bi1 Bi 0.001 0.500 0.259 1
Bi2 Bi 0.163 0.000 0.582 1
Bi3 Bi 0.167 0.000 0.083 1
```